DFT (PBE) results for a geometry-optimized KNbP2O8 structure.

Properties
Uncorrected energy = -7.50 eV per atom
DOS at the Fermi energy = 0.000 states/eV per atom

Cell: 5.2605 12.0072 12.0680 Å, 90.00 91.23 90.00°
With the nearest neighbours (Å) after each atom.
Atoms (fractional coordinates):
K (0.2614, 0.6340, 0.9478)  2 O 2.64-2.92
K (0.7386, 0.3660, 0.0522)  2 O 2.64-2.92
K (0.7614, 0.8660, 0.4478)  2 O 2.64-2.92
K (0.2386, 0.1340, 0.5522)  2 O 2.64-2.92
Nb (0.7568, 0.6230, 0.6692)  1 O 1.76
Nb (0.7432, 0.1230, 0.8308)  1 O 1.76
Nb (0.2432, 0.3770, 0.3308)  1 O 1.76
Nb (0.2568, 0.8770, 0.1692)  1 O 1.76
P (0.2497, 0.4363, 0.6344)  4 O 1.50-1.62
P (0.7497, 0.0637, 0.1344)  4 O 1.50-1.62
P (0.7503, 0.5637, 0.3656)  4 O 1.50-1.62
P (0.2503, 0.9363, 0.8656)  4 O 1.50-1.62
P (0.2561, 0.8114, 0.6523)  4 O 1.49-1.63
P (0.7561, 0.6886, 0.1523)  4 O 1.49-1.63
P (0.7439, 0.1886, 0.3477)  4 O 1.49-1.63
P (0.2439, 0.3114, 0.8477)  4 O 1.49-1.63
O (0.9858, 0.4872, 0.6524)  1 P 1.54
O (0.5142, 0.9872, 0.8476)  1 P 1.54
O (0.0142, 0.5128, 0.3476)  1 P 1.54
O (0.4858, 0.0128, 0.1524)  1 P 1.54
O (0.2686, 0.3281, 0.7140)  2 P 1.62-1.63
O (0.2314, 0.8281, 0.7860)  2 P 1.62-1.63
O (0.7314, 0.6719, 0.2860)  2 P 1.62-1.63
O (0.7686, 0.1719, 0.2140)  2 P 1.62-1.63
O (0.0473, 0.7240, 0.6245)  1 P 1.55
O (0.4527, 0.2240, 0.8755)  1 P 1.55
O (0.9527, 0.2760, 0.3755)  1 P 1.55
O (0.5473, 0.7760, 0.1245)  1 P 1.55
O (0.2250, 0.9174, 0.5895)  1 P 1.49
O (0.2750, 0.4174, 0.9105)  1 P 1.49
O (0.7750, 0.0826, 0.4105)  1 P 1.49
O (0.7250, 0.5826, 0.0895)  1 P 1.49
O (0.7904, 0.1091, 0.0204)  1 P 1.50
O (0.7096, 0.6091, 0.4796)  1 P 1.50
O (0.2096, 0.8909, 0.9796)  1 P 1.50
O (0.2904, 0.3909, 0.5204)  1 P 1.50
O (0.9534, 0.9810, 0.1767)  1 P 1.54
O (0.5466, 0.4810, 0.3233)  1 P 1.54
O (0.0466, 0.0190, 0.8233)  1 P 1.54
O (0.4534, 0.5190, 0.6767)  1 P 1.54
O (0.2055, 0.3592, 0.1869)  1 Nb 1.76
O (0.2945, 0.8592, 0.3131)  1 Nb 1.76
O (0.7945, 0.6408, 0.8131)  1 Nb 1.76
O (0.7055, 0.1408, 0.6869)  1 Nb 1.76
O (0.0179, 0.7448, 0.1387)  1 P 1.55
O (0.4821, 0.2448, 0.3613)  1 P 1.55
O (0.9821, 0.2552, 0.8613)  1 P 1.55
O (0.5179, 0.7552, 0.6387)  1 P 1.55